VASP calculation (PBE) on crystalline In3GaHg2 at its relaxed geometry.

As for the offset from the most stable computed form: 0.0 meV per atom. As for the uncorrected energy: -23.38 eV per cell. As for the magnetic moment: 0.0 μB/f.u.

It has space group P-1 (No. 2), with a = 3.247 Å, b = 7.093 Å, c = 13.748 Å, α = 104.09°, β = 95.08° and γ = 90.63°. The distinct sites, in fractional coordinates, are In at (0.084, 0.283, 0.024), In at (0.178, 0.909, 0.336), In at (0.180, 0.407, 0.308), Ga at (0.375, 0.382, 0.832), Hg at (0.275, 0.273, 0.506) and Hg at (0.387, 0.953, 0.842).